No. 1
Computed, not measured: Dy2ScCu9 after structural relaxation at the GGA-PBE level of DFT.

Unit cell a=5.072 b=5.072 c=8.852 alpha=73.35 beta=73.35 gamma=60.00
Sites, in units of the cell vectors:
1 Dy 0.862 0.862 0.414
2 Dy 0.138 0.138 0.586
3 Sc 0.000 0.000 0.000
4 Cu 0.667 0.667 0.998
5 Cu 0.333 0.333 0.002
6 Cu 0.500 0.500 0.500
7 Cu 0.419 0.419 0.243
8 Cu 0.919 0.419 0.243
9 Cu 0.419 0.919 0.243
10 Cu 0.581 0.581 0.757
11 Cu 0.581 0.081 0.757
12 Cu 0.081 0.581 0.757

## Properties
Its size of the total moment is 0.0 μB/f.u. As for the density of states at the Fermi level: 0.622 states/eV/atom. The uncorrected energy is -4.54 eV per atom. As for the formation energy: -2.10 eV/f.u.

---

No. 2
Computed, not measured: Dy2ScCu3 after structural relaxation at the GGA-PBE level of DFT.

Unit cell a=3.391 b=3.391 c=10.232 alpha=90.00 beta=90.00 gamma=90.00
Sites, in units of the cell vectors:
1 Dy 0.500 0.500 0.827
2 Dy 0.500 0.500 0.173
3 Sc 0.500 0.500 0.500
4 Cu 0.000 0.000 0.000
5 Cu 0.000 0.000 0.646
6 Cu 0.000 0.000 0.354

## Properties
Its size of the total moment is 0.0 μB/f.u. As for the density of states at the Fermi level: 0.507 states/eV/atom. The uncorrected energy is -4.89 eV per atom. As for the formation energy: -1.52 eV/f.u.

---

No. 3
Computed, not measured: DyScCu2 after structural relaxation at the GGA-PBE level of DFT.

Unit cell a=4.764 b=4.764 c=4.764 alpha=60.00 beta=60.00 gamma=60.00
Sites, in units of the cell vectors:
1 Sc 0.500 0.500 0.500
2 Cu 0.250 0.250 0.250
3 Cu 0.750 0.750 0.750
4 Dy 0.000 0.000 0.000

## Properties
For the energy above the most stable polymorph in this dataset, the calculation gives 1.2 kJ/mol of atoms. Its size of the total moment is 0.0 μB/f.u. As for the density of states at the Fermi level: 0.661 states/eV/atom. The uncorrected energy is -5.02 eV per atom. As for the formation energy: -0.97 eV/f.u.

---

No. 4
Computed, not measured: DyScCu4 after structural relaxation at the GGA-PBE level of DFT.

Unit cell a=5.159 b=5.159 c=5.159 alpha=60.00 beta=60.00 gamma=60.00
Sites, in units of the cell vectors:
1 Sc 0.000 0.000 0.000
2 Cu 0.626 0.626 0.122
3 Cu 0.626 0.122 0.626
4 Cu 0.626 0.626 0.626
5 Cu 0.122 0.626 0.626
6 Dy 0.250 0.250 0.250

## Properties
For the energy above the most stable polymorph in this dataset, the calculation gives 2.4 kJ/mol of atoms. Its size of the total moment is 0.0 μB/f.u. As for the density of states at the Fermi level: 0.747 states/eV/atom. The uncorrected energy is -4.75 eV per atom. As for the formation energy: -1.16 eV/f.u.

---

No. 5
Computed, not measured: Dy2ScCu after structural relaxation at the GGA-PBE level of DFT.

Unit cell a=3.440 b=3.440 c=8.315 alpha=90.00 beta=90.00 gamma=90.00
Sites, in units of the cell vectors:
1 Sc 0.500 0.500 0.500
2 Cu 0.500 0.500 0.000
3 Dy 0.000 0.000 0.789
4 Dy 0.000 0.000 0.211

## Properties
For the energy above the most stable polymorph in this dataset, the calculation gives 0.0 kJ/mol of atoms. Its size of the total moment is 0.0 μB/f.u. As for the density of states at the Fermi level: 1.600 states/eV/atom. The uncorrected energy is -4.99 eV per atom. As for the formation energy: -0.32 eV/f.u.

---

No. 6
Computed, not measured: DySc2Cu after structural relaxation at the GGA-PBE level of DFT.

Unit cell a=4.689 b=5.955 c=7.202 alpha=90.00 beta=90.00 gamma=113.22
Sites, in units of the cell vectors:
1 Dy 0.947 0.894 0.250
2 Dy 0.053 0.106 0.750
3 Sc 0.348 0.695 0.538
4 Sc 0.652 0.305 0.462
5 Sc 0.348 0.695 0.962
6 Sc 0.652 0.305 0.038
7 Cu 0.795 0.589 0.750
8 Cu 0.205 0.411 0.250

## Properties
For the energy above the most stable polymorph in this dataset, the calculation gives 0.8 kJ/mol of atoms. Its size of the total moment is 0.0 μB/f.u. As for the density of states at the Fermi level: 1.442 states/eV/atom. The uncorrected energy is -5.44 eV per atom. As for the formation energy: -0.41 eV/f.u.

---

No. 7
Computed, not measured: DySc2Cu after structural relaxation at the GGA-PBE level of DFT.

Unit cell a=3.408 b=3.408 c=9.604 alpha=79.78 beta=79.78 gamma=60.00
Sites, in units of the cell vectors:
1 Sc 0.267 0.267 0.200
2 Sc 0.733 0.733 0.800
3 Cu 0.000 0.000 0.000
4 Dy 0.500 0.500 0.500

## Properties
For the energy above the most stable polymorph in this dataset, the calculation gives 16.3 kJ/mol of atoms. Its size of the total moment is 0.0 μB/f.u. As for the density of states at the Fermi level: 1.400 states/eV/atom. The uncorrected energy is -5.28 eV per atom. As for the formation energy: 0.23 eV/f.u.

---

No. 8
Computed, not measured: DySc5Cu6 after structural relaxation at the GGA-PBE level of DFT.

Unit cell a=4.672 b=6.541 c=8.093 alpha=113.83 beta=106.77 gamma=90.00
Sites, in units of the cell vectors:
1 Sc 0.667 0.167 0.333
2 Sc 0.332 0.332 0.664
3 Sc 0.000 0.500 0.000
4 Sc 0.668 0.668 0.336
5 Sc 0.333 0.833 0.667
6 Cu 0.828 0.569 0.657
7 Cu 0.828 0.087 0.657
8 Cu 0.500 0.730 0.000
9 Cu 0.500 0.270 0.000
10 Cu 0.172 0.913 0.343
11 Cu 0.172 0.431 0.343
12 Dy 0.000 0.000 0.000

## Properties
Its size of the total moment is 0.0 μB/f.u. As for the density of states at the Fermi level: 0.611 states/eV/atom. The uncorrected energy is -5.33 eV per atom. As for the formation energy: -3.17 eV/f.u.

---

No. 9
Computed, not measured: Dy2ScCu after structural relaxation at the GGA-PBE level of DFT.

Unit cell a=3.346 b=3.346 c=10.883 alpha=81.16 beta=81.16 gamma=60.00
Last column: magnetic moment on the atom in μB.
Sites, in units of the cell vectors:
1 Sc 0.000 0.000 0.000  0.27
2 Cu 0.500 0.500 0.500  0.00
3 Dy 0.100 0.100 0.701  0.05
4 Dy 0.900 0.900 0.299  0.05

## Properties
For the energy above the most stable polymorph in this dataset, the calculation gives 35.5 kJ/mol of atoms. Its size of the total moment is 0.5 μB/f.u. As for the density of states at the Fermi level: 1.620 states/eV/atom. The uncorrected energy is -4.62 eV per atom. As for the formation energy: 1.15 eV/f.u.

---

No. 10
Computed, not measured: Dy2ScCuSe5 after structural relaxation at the GGA-PBE level of DFT.

Unit cell a=3.935 b=8.776 c=11.858 alpha=90.00 beta=90.00 gamma=102.95
Sites, in units of the cell vectors:
1 Dy 0.874 0.749 0.807
2 Dy 0.110 0.220 0.686
3 Dy 0.126 0.251 0.307
4 Dy 0.890 0.780 0.186
5 Sc 0.809 0.618 0.512
6 Sc 0.191 0.382 0.012
7 Cu 0.567 0.135 0.955
8 Cu 0.433 0.865 0.455
9 Se 0.353 0.707 0.001
10 Se 0.691 0.383 0.848
11 Se 0.498 0.996 0.781
12 Se 0.286 0.573 0.669
13 Se 0.955 0.911 0.565
14 Se 0.647 0.293 0.501
15 Se 0.309 0.617 0.348
16 Se 0.502 0.004 0.281
17 Se 0.714 0.427 0.169
18 Se 0.045 0.089 0.065

## Properties
As for the uncorrected formation energy: -1.5081 eV per atom. Its size of the total moment is 0.0 μB/f.u. As for the density of states at the Fermi level: 0.011 states/eV/atom. The uncorrected energy is -5.63 eV per atom.

---

No. 11
Computed, not measured: DyScCu2Si2 after structural relaxation at the GGA-PBE level of DFT.

Unit cell a=4.120 b=4.120 c=7.031 alpha=90.00 beta=90.00 gamma=120.00
Sites, in units of the cell vectors:
1 Dy 0.000 0.000 0.000
2 Sc 0.000 0.000 0.500
3 Cu 0.333 0.667 0.717
4 Cu 0.667 0.333 0.283
5 Si 0.333 0.667 0.268
6 Si 0.667 0.333 0.732

## Properties
As for the uncorrected formation energy: -0.6576 eV per atom. Its size of the total moment is 0.0 μB/f.u. As for the density of states at the Fermi level: 0.440 states/eV/atom. The uncorrected energy is -5.65 eV per atom.

---

No. 12
Computed, not measured: DyScCuSn after structural relaxation at the GGA-PBE level of DFT.

Unit cell a=4.997 b=4.997 c=4.997 alpha=60.00 beta=60.00 gamma=60.00
Last column: magnetic moment on the atom in μB.
Sites, in units of the cell vectors:
1 Sc 0.750 0.750 0.750  0.06
2 Sn 0.000 0.000 0.000  -0.01
3 Cu 0.500 0.500 0.500  0.01
4 Dy 0.250 0.250 0.250  0.04

## Properties
Its size of the total moment is 0.2 μB/f.u. As for the density of states at the Fermi level: 1.035 states/eV/atom. The uncorrected energy is -5.17 eV per atom. As for the formation energy: -1.66 eV/f.u.